[1]
{"formula": "TlPdSe", "functional": "PBE", "state": "relaxed", "lattice_angstrom": [[4.617, 0.000, 0.000], [2.308, 3.998, 0.000], [2.308, 1.333, 3.769]], "species": ["Tl", "Se", "Pd"], "fractional_positions": [[0.500, 0.500, 0.500], [0.000, 0.000, 0.000], [0.250, 0.250, 0.250]], "volume_a3_per_atom": 23.19, "dos_ef_per_ev_fu": 2.8, "formation_energy_uncorrected_ev_per_fu": -0.5, "sg": "No. 216"}

=====

[2]
{"formula": "Na2HfUTe4", "functional": "PBE", "state": "relaxed", "lattice_angstrom": [[-2.600, -1.125, 3.121], [3.581, -6.372, 0.686], [3.626, 5.340, 4.947]], "species": ["Na", "Na", "Hf", "U", "Te", "Te", "Te", "Te"], "fractional_positions": [[0.500, 0.000, 0.500], [0.000, 0.500, 0.500], [0.500, 0.500, 0.000], [0.000, 0.000, 0.000], [0.500, 0.261, 0.235], [0.500, 0.739, 0.765], [0.000, 0.273, 0.775], [0.000, 0.727, 0.225]], "volume_a3_per_atom": 30.05, "dos_ef_per_ev_fu": 5.5, "formation_energy_uncorrected_ev_per_fu": -6.3, "sg": "No. 10"}

=====

[3]
{"formula": "Pm4Cd3Ni", "functional": "PBE", "state": "relaxed", "lattice_angstrom": [[-0.770, 1.736, 3.140], [-2.284, -2.714, 0.941], [11.774, -7.475, 7.023]], "species": ["Ni", "Cd", "Cd", "Cd", "Pm", "Pm", "Pm", "Pm"], "fractional_positions": [[0.500, 0.500, 0.000], [0.500, 0.500, 0.240], [0.500, 0.500, 0.500], [0.500, 0.500, 0.760], [0.000, 0.000, 0.896], [0.000, 0.000, 0.104], [0.000, 0.000, 0.369], [0.000, 0.000, 0.631]], "volume_a3_per_atom": 26.28, "dos_ef_per_ev_fu": 7.6, "sg": "No. 123", "e_form_ev_per_atom": -0.295}

=====

[4]
{"formula": "Ag24Au5", "functional": "PBE", "state": "relaxed", "lattice_angstrom": [[-6.506, 1.015, 5.892], [-2.046, -6.568, -5.545], [7.518, -1.941, 4.219]], "species": ["Ag", "Ag", "Ag", "Ag", "Ag", "Ag", "Ag", "Ag", "Ag", "Ag", "Ag", "Ag", "Ag", "Ag", "Ag", "Ag", "Ag", "Ag", "Ag", "Ag", "Ag", "Ag", "Ag", "Ag", "Au", "Au", "Au", "Au", "Au"], "fractional_positions": [[0.192, 0.381, 0.000], [0.381, 0.192, 0.000], [0.808, 0.808, 0.189], [0.619, 0.619, 0.811], [0.808, 0.189, 0.808], [0.619, 0.811, 0.619], [0.381, 0.000, 0.192], [0.192, 0.000, 0.381], [0.000, 0.381, 0.192], [0.000, 0.192, 0.381], [0.811, 0.619, 0.619], [0.189, 0.808, 0.808], [0.690, 0.415, 0.000], [0.415, 0.690, 0.000], [0.310, 0.310, 0.725], [0.585, 0.585, 0.275], [0.310, 0.725, 0.310], [0.585, 0.275, 0.585], [0.415, 0.000, 0.690], [0.690, 0.000, 0.415], [0.000, 0.415, 0.690], [0.000, 0.690, 0.415], [0.275, 0.585, 0.585], [0.725, 0.310, 0.310], [0.000, 0.662, 0.000], [0.662, 0.000, 0.000], [0.000, 0.000, 0.662], [0.338, 0.338, 0.338], [0.000, 0.000, 0.000]], "volume_a3_per_atom": 18.31, "dos_ef_per_ev_fu": 6.0, "sg": "No. 217", "e_form_ev_per_atom": 0.071}